11
Lattice="-2.071 -5.406 2.295 7.932 -0.020 1.683 -3.633 5.633 4.564" Properties=species:S:1:pos:R:3 comment="Pr8NiAu2 PBE-GGA relaxed" dos_ef_per_ev_cell=15.65 relative_energy_mev_per_atom=93 ef_ev_per_atom=-0.21 m_tot_mub_per_fu=0.000 rho_g_cm3=7.47 pbc="T T T"
Ni 3.701 4.101 6.811
Pr 1.024 3.431 5.813
Au 3.496 -0.984 3.778
Pr 1.168 0.978 2.771
Pr -1.762 -1.307 3.353
Au -1.171 1.297 4.941
Pr -3.954 -0.305 6.354
Pr 4.329 -4.353 4.290
Pr 1.185 -0.503 5.742
Pr 1.248 -2.778 2.603
Pr 4.254 1.852 5.009